[1]
Here is a geometry-optimized La2TcWN6 structure from the Alexandria database. Energies are from GGA-PBE.

Structure (CIF):
```
data_La2TcWN6
_space_group_name_H-M_alt 'P 1 21/c 1'
_space_group_IT_number 14
_cell_length_a 5.6615
_cell_length_b 5.6341
_cell_length_c 9.7373
_cell_angle_alpha 90.00
_cell_angle_beta 125.48
_cell_angle_gamma 90.00
loop_
_space_group_symop_operation_xyz
'x,y,z'
'-x,-y,-z'
'-x,y+1/2,-z+1/2'
'x,-y+1/2,z+1/2'
loop_
_atom_site_label
_atom_site_type_symbol
_atom_site_fract_x
_atom_site_fract_y
_atom_site_fract_z
La1 La 0.2472 0.0191 0.2500
Tc1 Tc 0.0000 0.0000 0.5000
W1 W 0.5000 0.0000 0.0000
N1 N 0.1970 0.2262 0.9706
N2 N 0.2429 0.7254 0.9708
N3 N 0.3042 0.0047 0.7490
```

Volume: 253 Å³/cell
Formation energy from raw total energies: -776 meV per atom
Total DFT energy (no corrections): -90.9 eV per formula unit
Calculated density: 8.5 Mg/m³

=====

[2]
Here is a geometry-optimized Ce4Tm3Ga4 structure from the Alexandria database. Energies are from GGA-PBE.

Structure (CIF):
```
data_Ce4Tm3Ga4
_space_group_name_H-M_alt 'I m m m'
_space_group_IT_number 71
_space_group_name_Hall '-I 2 2'
_cell_length_a 3.4173
_cell_length_b 8.7512
_cell_length_c 18.4844
_cell_angle_alpha 90.00
_cell_angle_beta 90.00
_cell_angle_gamma 90.00
loop_
_atom_site_label
_atom_site_type_symbol
_atom_site_fract_x
_atom_site_fract_y
_atom_site_fract_z
Ce1 Ce 0.0000 0.1599 0.1646
Tm1 Tm 0.0000 0.0000 0.4077
Tm2 Tm 0.0000 0.5000 0.5000
Ga1 Ga 0.0000 0.2789 0.0000
Ga2 Ga 0.0000 0.5000 0.2186
```

Volume: 553 Å³/cell
ΔE_f: -0.381 eV per atom
Total DFT energy (no corrections): -53.4 eV per formula unit
Calculated density: 8.1 Mg/m³

=====

Repeat the first record exactly.
Here is a geometry-optimized La2TcWN6 structure from the Alexandria database. Energies are from GGA-PBE.

Structure (CIF):
```
data_La2TcWN6
_space_group_name_H-M_alt 'P 1 21/c 1'
_space_group_IT_number 14
_cell_length_a 5.6615
_cell_length_b 5.6341
_cell_length_c 9.7373
_cell_angle_alpha 90.00
_cell_angle_beta 125.48
_cell_angle_gamma 90.00
loop_
_space_group_symop_operation_xyz
'x,y,z'
'-x,-y,-z'
'-x,y+1/2,-z+1/2'
'x,-y+1/2,z+1/2'
loop_
_atom_site_label
_atom_site_type_symbol
_atom_site_fract_x
_atom_site_fract_y
_atom_site_fract_z
La1 La 0.2472 0.0191 0.2500
Tc1 Tc 0.0000 0.0000 0.5000
W1 W 0.5000 0.0000 0.0000
N1 N 0.1970 0.2262 0.9706
N2 N 0.2429 0.7254 0.9708
N3 N 0.3042 0.0047 0.7490
```

Volume: 253 Å³/cell
Formation energy from raw total energies: -776 meV per atom
Total DFT energy (no corrections): -90.9 eV per formula unit
Calculated density: 8.5 Mg/m³

=====

> Among the records above, which one has the highest volume?

Ce4Tm3Ga4

=====

> Which value of calculated density does entry 1 give?

8.5 Mg/m³